Record 1
# SCAN Na3YSi2O7, single point on PBEsol structure
# Crystal system = hexagonal
# Density of states at the Fermi level = 0.00 states/eV per atom
# Space group = P6_3 (173)
# Electronic total energy = -10.941 eV/atom
data_Na3YSi2O7
_chemical_formula_sum 'Na18 Y6 Si12 O42'
_cell_length_a 9.4189
_cell_length_b 9.4189
_cell_length_c 13.7500
_cell_angle_alpha 90.00
_cell_angle_beta 90.00
_cell_angle_gamma 120.00
_space_group_name_H-M_alt 'P 1'
_space_group_IT_number 1
loop_
_space_group_symop_operation_xyz
'x,y,z'
loop_
_atom_site_label
_atom_site_fract_x
_atom_site_fract_y
_atom_site_fract_z
Na1 0.3333 0.6667 0.2488
Na2 0.6667 0.3333 0.7488
Na3 0.0000 0.0000 0.4997
Na4 0.0000 0.0000 0.9997
Na5 0.3333 0.6667 0.7277
Na6 0.6667 0.3333 0.2277
Na7 0.3182 0.9873 0.4121
Na8 0.6691 0.6818 0.4121
Na9 0.0127 0.3309 0.4121
Na10 0.6818 0.0127 0.9121
Na11 0.3309 0.3182 0.9121
Na12 0.9873 0.6691 0.9121
Na13 0.6837 0.0145 0.5883
Na14 0.3308 0.3163 0.5883
Na15 0.9855 0.6692 0.5883
Na16 0.3163 0.9855 0.0883
Na17 0.6692 0.6837 0.0883
Na18 0.0145 0.3308 0.0883
Y1 0.6667 0.3333 0.9785
Y2 0.3333 0.6667 0.4785
Y3 0.3333 0.6667 0.0182
Y4 0.6667 0.3333 0.5182
Y5 0.0000 0.0000 0.7498
Y6 0.0000 0.0000 0.2498
Si1 0.3275 0.9820 0.8594
Si2 0.6545 0.6725 0.8594
Si3 0.0180 0.3455 0.8594
Si4 0.6725 0.0180 0.3594
Si5 0.3455 0.3275 0.3594
Si6 0.9820 0.6545 0.3594
Si7 0.6722 0.0184 0.1409
Si8 0.3461 0.3278 0.1409
Si9 0.9816 0.6539 0.1409
Si10 0.3278 0.9816 0.6409
Si11 0.6539 0.6722 0.6409
Si12 0.0184 0.3461 0.6409
O1 0.6085 0.4836 0.8779
O2 0.8752 0.3915 0.8779
O3 0.5164 0.1248 0.8779
O4 0.3915 0.5164 0.3779
O5 0.1248 0.6085 0.3779
O6 0.4836 0.8752 0.3779
O7 0.3903 0.5157 0.1214
O8 0.1254 0.6097 0.1214
O9 0.4843 0.8746 0.1214
O10 0.6097 0.4843 0.6214
O11 0.8746 0.3903 0.6214
O12 0.5157 0.1254 0.6214
O13 0.2711 0.8276 0.5657
O14 0.5565 0.7289 0.5657
O15 0.1724 0.4435 0.5657
O16 0.7289 0.1724 0.0657
O17 0.4435 0.2711 0.0657
O18 0.8276 0.5565 0.0657
O19 0.7306 0.1682 0.4374
O20 0.4375 0.2694 0.4374
O21 0.8318 0.5625 0.4374
O22 0.2694 0.8318 0.9374
O23 0.5625 0.7306 0.9374
O24 0.1682 0.4375 0.9374
O25 0.1980 0.0484 0.6389
O26 0.8504 0.8020 0.6389
O27 0.9516 0.1496 0.6389
O28 0.8020 0.9516 0.1389
O29 0.1496 0.1980 0.1389
O30 0.0484 0.8504 0.1389
O31 0.8000 0.9481 0.3597
O32 0.1481 0.2000 0.3597
O33 0.0519 0.8519 0.3597
O34 0.2000 0.0519 0.8597
O35 0.8519 0.8000 0.8597
O36 0.9481 0.1481 0.8597
O37 0.3150 0.8963 0.7504
O38 0.5813 0.6850 0.7504
O39 0.1037 0.4187 0.7504
O40 0.6850 0.1037 0.2504
O41 0.4187 0.3150 0.2504
O42 0.8963 0.5813 0.2504

***

Record 2
# SCAN Li2BeSb, single point on PBEsol structure
# Crystal system = tetragonal
# Density of states at the Fermi level = 0.23 states/eV per atom
# Space group = I-4m2 (119)
# Electronic total energy = -11.701 eV/atom
data_Li2BeSb
_chemical_formula_sum 'Li2 Be1 Sb1'
_cell_length_a 4.0481
_cell_length_b 4.0481
_cell_length_c 4.7044
_cell_angle_alpha 115.48
_cell_angle_beta 115.48
_cell_angle_gamma 90.00
_space_group_name_H-M_alt 'P 1'
_space_group_IT_number 1
loop_
_space_group_symop_operation_xyz
'x,y,z'
loop_
_atom_site_label
_atom_site_fract_x
_atom_site_fract_y
_atom_site_fract_z
Sb1 0.5000 0.5000 0.0000
Be1 0.2500 0.7500 0.5000
Li1 0.0000 0.0000 0.0000
Li2 0.7500 0.2500 0.5000

***

Record 3
# SCAN Zr2GeHN, single point on PBEsol structure
# Crystal system = tetragonal
# Density of states at the Fermi level = 0.56 states/eV per atom
# Space group = P4/mmm (123)
# Electronic total energy = -19.115 eV/atom
data_Zr2GeHN
_chemical_formula_sum 'Zr2 Ge1 H1 N1'
_cell_length_a 3.4397
_cell_length_b 4.4649
_cell_length_c 4.4649
_cell_angle_alpha 90.00
_cell_angle_beta 90.00
_cell_angle_gamma 90.00
_space_group_name_H-M_alt 'P 1'
_space_group_IT_number 1
loop_
_space_group_symop_operation_xyz
'x,y,z'
loop_
_atom_site_label
_atom_site_fract_x
_atom_site_fract_y
_atom_site_fract_z
H1 0.5000 0.0000 0.0000
Ge1 0.5000 0.5000 0.5000
Zr1 0.0000 0.0000 0.5000
Zr2 0.0000 0.5000 0.0000
N1 0.0000 0.0000 0.0000

***

Record 4
# SCAN Mg3SbC, single point on PBEsol structure
# Crystal system = cubic
# Density of states at the Fermi level = 0.33 states/eV per atom
# Space group = Pm-3m (221)
# Electronic total energy = -10.961 eV/atom
data_Mg3SbC
_chemical_formula_sum 'Mg3 Sb1 C1'
_cell_length_a 5.2344
_cell_length_b 5.2344
_cell_length_c 5.2344
_cell_angle_alpha 90.00
_cell_angle_beta 90.00
_cell_angle_gamma 90.00
_space_group_name_H-M_alt 'P 1'
_space_group_IT_number 1
loop_
_space_group_symop_operation_xyz
'x,y,z'
loop_
_atom_site_label
_atom_site_fract_x
_atom_site_fract_y
_atom_site_fract_z
Sb1 0.0000 0.0000 0.0000
Mg1 0.0000 0.5000 0.0000
Mg2 0.0000 0.0000 0.5000
Mg3 0.5000 0.0000 0.0000
C1 0.5000 0.5000 0.5000

***

Record 5
# SCAN Co3Mo, single point on PBEsol structure
# Crystal system = trigonal
# ΔH_f (0 K) = 1.1 eV per formula unit
# Density of states at the Fermi level = 1.08 states/eV per atom
# Space group = R-3m (166)
# Electronic total energy = -21.428 eV/atom
data_Co3Mo
_chemical_formula_sum 'Co3 Mo1'
_cell_length_a 2.4939
_cell_length_b 4.7048
_cell_length_c 4.7048
_cell_angle_alpha 116.95
_cell_angle_beta 100.18
_cell_angle_gamma 100.18
_space_group_name_H-M_alt 'P 1'
_space_group_IT_number 1
loop_
_space_group_symop_operation_xyz
'x,y,z'
loop_
_atom_site_label
_atom_site_fract_x
_atom_site_fract_y
_atom_site_fract_z
Mo1 0.0000 0.0000 0.0000
Co1 0.5000 0.0000 0.5000
Co2 0.5000 0.5000 0.0000
Co3 0.0000 0.5000 0.5000

***

Record 6
# SCAN ZrBeCl2, single point on PBEsol structure
# Crystal system = monoclinic
# Offset from the most stable computed form = 0.5046 eV per atom
# Density of states at the Fermi level = 0.22 states/eV per atom
# Space group = P2/m (10)
# Electronic total energy = -13.131 eV/atom
data_ZrBeCl2
_chemical_formula_sum 'Zr1 Be1 Cl2'
_cell_length_a 3.1927
_cell_length_b 4.3425
_cell_length_c 5.1278
_cell_angle_alpha 90.00
_cell_angle_beta 93.19
_cell_angle_gamma 90.00
_space_group_name_H-M_alt 'P 1'
_space_group_IT_number 1
loop_
_space_group_symop_operation_xyz
'x,y,z'
loop_
_atom_site_label
_atom_site_fract_x
_atom_site_fract_y
_atom_site_fract_z
Be1 0.0000 0.5000 0.0000
Zr1 0.5000 0.5000 0.5000
Cl1 0.7250 0.0000 0.7494
Cl2 0.2750 0.0000 0.2506